Zr3TePb4O13: PBEsol geometry, meta-GGA SCAN.

abc: 7.557 7.557 7.583
angles: 60.11 60.11 60.00
Positions (direct):
Zr 0.499 0.001 0.001
Zr 0.001 0.499 0.001
Zr 0.499 0.499 0.001
Te 0.499 0.499 0.502
Pb 0.998 0.501 0.503
Pb 0.501 0.998 0.503
Pb 0.998 0.998 0.503
Pb 0.002 0.002 0.994
O 0.833 0.833 0.907
O 0.433 0.433 0.331
O 0.428 0.833 0.907
O 0.803 0.433 0.331
O 0.833 0.428 0.907
O 0.433 0.803 0.331
O 0.172 0.172 0.090
O 0.565 0.565 0.673
O 0.566 0.172 0.090
O 0.197 0.565 0.673
O 0.172 0.566 0.090
O 0.565 0.197 0.673
O 0.129 0.129 0.613

Calculated values
The value obtained for the final energy is -26.77 eV per atom. The formation energy from raw total energies is -2.318 eV/atom. As for the symmetry: R3m.